1.
{"formula": "Mn5FeB2Mo2", "functional": "PBE", "state": "optimized geometry", "delta_e_f_ev_per_atom": -0.2003, "lattice_angstrom": [[-0.613, -2.379, 1.558], [-3.144, -3.787, -7.019], [7.768, -3.162, -1.773]], "species": ["Mn", "Mn", "Mn", "Mn", "Mn", "Mn", "Mn", "Mn", "Mn", "Mn", "Fe", "Fe", "B", "B", "B", "B", "Mo", "Mo", "Mo", "Mo"], "frac_coords": [[0.500, 0.213, 0.068], [0.500, 0.787, 0.932], [0.500, 0.068, 0.787], [0.500, 0.713, 0.432], [0.500, 0.932, 0.213], [0.500, 0.287, 0.568], [0.500, 0.568, 0.713], [0.500, 0.432, 0.287], [0.500, 0.500, 0.000], [0.500, 0.000, 0.500], [0.000, 0.000, 0.000], [0.000, 0.500, 0.500], [0.000, 0.123, 0.623], [0.000, 0.877, 0.377], [0.000, 0.623, 0.877], [0.000, 0.377, 0.123], [0.000, 0.676, 0.176], [0.000, 0.324, 0.824], [0.000, 0.176, 0.324], [0.000, 0.824, 0.676]]}

---

2.
{"formula": "ScTeP2O", "functional": "PBE", "state": "optimized geometry", "raw_formation_energy_ev_per_atom": 0.012, "de_polymorph_mev_per_atom": 350.5, "lattice_angstrom": [[-0.897, 4.654, -1.743], [-3.314, -1.880, -3.315], [-2.907, 0.436, 2.659]], "species": ["Sc", "P", "P", "Te", "O"], "frac_coords": [[0.500, 0.500, 0.500], [0.000, 0.500, 0.000], [0.500, 0.000, 0.000], [0.000, 0.000, 0.000], [0.000, 0.000, 0.500]]}

---

3.
{"formula": "Ca2EuHo", "functional": "PBE", "state": "optimized geometry", "delta_e_f_ev_per_atom": 0.1363, "de_polymorph_mev_per_atom": 0.0, "lattice_angstrom": [[-2.277, 2.883, -1.936], [-4.252, -4.135, -1.157], [-2.731, 1.347, 5.219]], "species": ["Eu", "Ca", "Ca", "Ho"], "frac_coords": [[0.500, 0.000, 0.000], [0.000, 0.000, 0.500], [0.000, 0.500, 0.000], [0.500, 0.500, 0.500]]}

---

4.
{"formula": "NaMgIn2Pt", "functional": "PBE", "state": "optimized geometry", "delta_e_f_ev_per_atom": -0.2715, "lattice_angstrom": [[-0.018, 1.446, -4.993], [-4.769, -1.991, -0.559], [-2.038, 4.511, 1.314]], "species": ["Na", "Mg", "Pt", "In", "In"], "frac_coords": [[0.500, 0.500, 0.500], [0.000, 0.000, 0.500], [0.000, 0.000, 0.000], [0.000, 0.500, 0.000], [0.500, 0.000, 0.000]]}

---

5.
{"formula": "KBeAsSe2", "functional": "PBE", "state": "optimized geometry", "raw_formation_energy_ev_per_atom": 1.638, "de_polymorph_mev_per_atom": 1733.1, "lattice_angstrom": [[-5.052, 2.237, -0.872], [-1.927, -2.564, 4.582], [1.416, 4.385, 3.049]], "species": ["Be", "As", "K", "Se", "Se"], "frac_coords": [[0.500, 0.500, 0.500], [0.000, 0.000, 0.500], [0.000, 0.000, 0.000], [0.000, 0.500, 0.000], [0.500, 0.000, 0.000]]}

---

6.
{"formula": "LaNp3P4N12", "functional": "PBE", "state": "optimized geometry", "raw_formation_energy_ev_per_atom": -0.655, "lattice_angstrom": [[-6.462, 0.116, -2.422], [0.949, -6.612, 1.735], [-0.508, 3.204, 6.092]], "species": ["La", "Np", "Np", "Np", "P", "P", "P", "P", "N", "N", "N", "N", "N", "N", "N", "N", "N", "N", "N", "N"], "frac_coords": [[0.000, 0.000, 0.000], [0.548, 0.452, 0.000], [0.452, 0.000, 0.548], [0.000, 0.548, 0.452], [0.951, 0.049, 0.500], [0.049, 0.500, 0.951], [0.500, 0.951, 0.049], [0.500, 0.500, 0.500], [0.500, 0.354, 0.646], [0.902, 0.500, 0.098], [0.098, 0.902, 0.500], [0.500, 0.098, 0.902], [0.362, 0.970, 0.202], [0.202, 0.362, 0.970], [0.970, 0.202, 0.362], [0.638, 0.798, 0.030], [0.030, 0.638, 0.798], [0.798, 0.030, 0.638], [0.646, 0.500, 0.354], [0.354, 0.646, 0.500]]}